A geometry-optimized YTl2PbO6 structure. Source: the Alexandria database, functional PBE.

Symmetry   No. 146
Formation energy from raw total energies   -1.397 eV per atom
Magnetization   0.0 μB per cell
Calculated total energy   -5.863 eV per atom
ρ   8.592 g/cm3

a b c (Å): 5.885 5.885 6.179
angles (deg): 61.56 61.57 60.00
Element x y z (fractional)
Y  0.808  0.808  0.575
Tl  0.529  0.529  0.413
Tl  0.028  0.028  0.917
Pb  0.310  0.310  0.071
O  0.623  0.204  0.255
O  0.204  0.917  0.255
O  0.917  0.623  0.255
O  0.420  0.707  0.758
O  0.707  0.115  0.758
O  0.115  0.420  0.758